# GGA-PBE SrCa2Pb, relaxed
# Uncorrected energy: -0.192 Ry/atom
# Magnetic moment: 0.0 μB per cell
# Theoretical density: 4.369 g/cm3
# E_form: -257.4 meV/atom
data_SrCa2Pb
_chemical_formula_sum 'Sr2 Ca4 Pb2'
_space_group_name_H-M_alt 'P 1'
_space_group_IT_number 1
_cell_length_a 5.3044
_cell_length_b 5.3343
_cell_length_c 10.0727
_cell_angle_alpha 90.00
_cell_angle_beta 90.00
_cell_angle_gamma 90.00
loop_
_space_group_symop_operation_xyz
'x,y,z'
loop_
_atom_site_label
_atom_site_type_symbol
_atom_site_fract_x
_atom_site_fract_y
_atom_site_fract_z
Sr1 Sr 0.0000 0.0000 0.0000
Sr2 Sr 0.5000 0.5000 0.5000
Ca1 Ca 0.0000 0.0000 0.5028
Ca2 Ca 0.0000 0.5000 0.7513
Ca3 Ca 0.5000 0.0000 0.2513
Ca4 Ca 0.5000 0.5000 0.0028
Pb1 Pb 0.0000 0.5000 0.2508
Pb2 Pb 0.5000 0.0000 0.7508